A plane-wave DFT calculation with PBE was carried out for a geometry-optimized TlIBr2 structure.

```
8
Lattice="-4.3089 4.3089 3.8709 4.3089 -4.3089 3.8709 4.3089 4.3089 -3.8709" Properties=species:S:1:pos:R:3 pbc="T T T"
Tl 0.0000 0.0000 0.0000
Tl 0.0000 4.3089 1.9355
I 4.3089 0.0000 1.9355
I 0.0000 0.0000 3.8709
Br 2.1545 1.7991 -0.9677
Br 2.5098 -2.1545 4.8386
Br 2.1545 2.5098 2.9032
Br 1.7991 6.4634 0.9677
```

Computed properties:
SG	I-42d, No. 122
raw formation energy	-0.143	eV/atom
E_tot	-1.958	eV per atom